Record 1
A plane-wave DFT calculation with PBE-GGA was carried out for crystalline SnPC at its relaxed geometry.

Values from the calculation:
The calculated formation energy comes out at 0.492 eV per atom. The value obtained for the energy above the most stable polymorph in this dataset is 0.042 eV/atom.

Lattice parameters (Å, degrees): 2.9311 4.6856 9.1927 90.00 90.00 90.00
Space group Imm2 (No. 44)
Unique sites:
Sn: 0.0000 0.0000 0.0000 x2
P: 0.0000 0.5000 0.8396 x2
C: 0.0000 0.0000 0.2372 x2

---

Record 2
A plane-wave DFT calculation with PBE-GGA was carried out for crystalline Be4Cd5 at its relaxed geometry.

Values from the calculation:
The calculated formation energy comes out at 0.435 eV per atom. The value obtained for the energy above the most stable polymorph in this dataset is 0.000 eV/atom.

Lattice parameters (Å, degrees): 8.6083 8.6083 4.0185 90.00 90.00 90.00
Space group I4/mmm (No. 139)
Unique sites:
Be: 0.0000 0.3773 0.0000 x8
Cd: 0.0000 0.0000 0.0000 x2
Cd: 0.1733 0.1733 0.5000 x8

---

Record 3
A plane-wave DFT calculation with PBE-GGA was carried out for crystalline LiGe2O at its relaxed geometry.

Values from the calculation:
The total energy comes out at -69.04 eV for the cell shown.

Lattice parameters (Å, degrees): 4.5524 4.5524 13.7641 90.00 90.00 90.00
Space group I-42d (No. 122)
Unique sites:
Li: 0.0000 0.0000 0.0000 x4
Ge: 0.1307 0.2500 0.6250 x8
O: 0.0000 0.0000 0.5000 x4